[1]
A geometry-optimized PrNd2PuAs4 structure. Source: Alexandria, functional PBE.

a b c (Å): 4.253 7.352 7.351
angles (deg): 109.46 90.00 90.00
Site moments in Bohr magnetons follow the coordinates.
Fractional coordinates of all 8 atoms:
Pr  0.500  0.500  0.000  0.02
As  0.000  0.755  0.247  -0.04
Nd  0.000  0.500  0.500  0.00
Pu  0.000  0.000  0.000  5.04
As  0.500  0.241  0.243  -0.08
As  0.000  0.245  0.753  -0.04
As  0.500  0.759  0.757  -0.08
Nd  0.500  0.000  0.500  0.01

Summary:
Crystal system ... monoclinic
Calculated total energy ... -7.28 eV per atom
Space-group type ... P2/m
Energy of formation ... -1.37 eV/atom

=====

[2]
A geometry-optimized Tb2BeSi2Rh5 structure. Source: Alexandria, functional PBE.

a b c (Å): 3.366 9.710 9.710
angles (deg): 90.00 90.00 90.00
Fractional coordinates of all 20 atoms:
Rh  0.500  0.295  0.566
Be  0.000  0.500  0.500
Tb  0.000  0.173  0.327
Rh  0.500  0.434  0.295
Rh  0.500  0.500  0.000
Rh  0.500  0.705  0.434
Rh  0.500  0.566  0.705
Be  0.000  0.000  0.000
Rh  0.500  0.066  0.795
Rh  0.500  0.000  0.500
Rh  0.500  0.934  0.205
Tb  0.000  0.327  0.827
Rh  0.500  0.795  0.934
Si  0.000  0.127  0.627
Si  0.000  0.873  0.373
Tb  0.000  0.673  0.173
Si  0.000  0.373  0.127
Rh  0.500  0.205  0.066
Si  0.000  0.627  0.873
Tb  0.000  0.827  0.673

Summary:
Crystal system ... tetragonal
Calculated total energy ... -6.89 eV per atom
Space-group type ... P4/mbm
E_form (uncorrected) ... -0.833 eV/atom

=====

[3]
A geometry-optimized PmDyMgRu structure. Source: Alexandria, functional PBE.

a b c (Å): 5.084 5.084 5.084
angles (deg): 60.00 60.00 60.00
Fractional coordinates of all 4 atoms:
Ru  0.750  0.750  0.750
Mg  0.250  0.250  0.250
Dy  0.500  0.500  0.500
Pm  0.000  0.000  0.000

Summary:
Crystal system ... cubic
Calculated total energy ... -5.20 eV per atom
Space-group type ... F-43m
Energy of formation ... -0.14 eV/atom